This record from Alexandria describes La2SbRh2 at its PBEsol-relaxed geometry. The functional is SCAN.

As for the energy relative to the elements, uncorrected: -943 meV/atom. The size of the total moment is 0.00 μB per formula unit. The value obtained for the total energy is -391.46 eV/cell.

The space group is P4/mbm (No. 127) and the conventional cell measures 7.4778, 7.4778 and 3.9913 Å, with angles of 90.00, 90.00 and 90.00 degrees. The inequivalent atoms are La at (0.1751, 0.3249, 0.0000), Sb at (0.0000, 0.0000, 0.5000) and Rh at (0.1341, 0.6341, 0.5000).